[1]
Computed, not measured: a geometry-optimized Gd3Al structure at the PBEsol level of DFT.

Calculated values
M_tot: 22.5 μB/cell
Space-group type: Pm-3m, No. 221
DOS(E_F): 0.827 states/eV per atom
Energy of formation from the pure elements: -21.4 kJ/mol of atoms
Total DFT energy (no corrections): -48.33 eV per cell

Lattice parameters (Å, degrees): 4.708 4.708 4.708 90.00 90.00 90.00
Last column: magnetic moment on the atom in μB.
Sites, in units of the cell vectors:
Gd (0.000, 0.500, 0.500)  7.24
Gd (0.500, 0.000, 0.500)  7.24
Gd (0.500, 0.500, 0.000)  7.24
Al (0.000, 0.000, 0.000)  -0.04

=====

[2]
Computed, not measured: a geometry-optimized GdAl structure at the PBEsol level of DFT.

Calculated values
M_tot: 15.5 μB/cell
Space-group type: Cmcm, No. 63
DOS(E_F): 1.026 states/eV per atom
Energy of formation from the pure elements: -37.1 kJ/mol of atoms
Total DFT energy (no corrections): -38.62 eV per cell

Lattice parameters (Å, degrees): 3.658 4.475 6.148 90.00 107.31 90.00
Last column: magnetic moment on the atom in μB.
Sites, in units of the cell vectors:
Gd (0.157, 0.750, 0.315)  7.25
Gd (0.843, 0.250, 0.685)  7.25
Al (0.435, 0.750, 0.869)  -0.01
Al (0.565, 0.250, 0.131)  -0.01